Record 1
# SrCo2WAu

A geometry-optimized SrCo2WAu structure (PBE, the Alexandria database).

Results
Calculated total energy ... -5.14 eV per atom
Formation energy from the elements ... 1.284 eV per atom
Magnetization ... 0.1515 μB/atom

a = 4.4644 Å, b = 6.0117 Å, c = 4.4644 Å
α = 90.00°, β = 90.00°, γ = 90.00°
Sites, in units of the cell vectors:
W  0.0000  0.0000  0.0000
Co  0.5000  0.0000  0.0000
Co  0.0000  0.0000  0.5000
Au  0.5000  0.5000  0.5000
Sr  0.0000  0.5000  0.0000

Record 2
# TaCoAu2

A geometry-optimized TaCoAu2 structure (PBE, the Alexandria database).

Results
ΔE to the lowest computed polymorph ... 0.2352 eV per atom
Calculated total energy ... -6.18 eV per atom
Formation energy from the elements ... 0.200 eV per atom
Magnetization ... 0.2469 μB/atom

a = 6.1621 Å, b = 4.9733 Å, c = 2.8650 Å
α = 90.01°, β = 62.24°, γ = 119.00°
Sites, in units of the cell vectors:
Ta  0.5000  0.5000  0.0000
Co  0.0000  0.5000  0.5000
Au  0.0000  0.0000  0.0000
Au  0.5000  0.0000  0.5000

Record 3
# Ta2CoAu

A geometry-optimized Ta2CoAu structure (PBE, the Alexandria database).

Results
ΔE to the lowest computed polymorph ... 0.0799 eV per atom
Calculated total energy ... -8.55 eV per atom
Formation energy from the elements ... -0.029 eV per atom
Magnetization ... 0.0827 μB/atom

a = 3.9517 Å, b = 3.9554 Å, c = 4.0686 Å
α = 90.00°, β = 90.00°, γ = 90.00°
Sites, in units of the cell vectors:
Co  0.0000  0.5000  0.5000
Au  0.5000  0.0000  0.5000
Ta  0.0000  0.0000  0.0000
Ta  0.5000  0.5000  0.0000

Record 4
# Ta2CoAu

A geometry-optimized Ta2CoAu structure (PBE, the Alexandria database).

Results
ΔE to the lowest computed polymorph ... 0.2854 eV per atom
Calculated total energy ... -8.35 eV per atom
Formation energy from the elements ... 0.177 eV per atom
Magnetization ... 0.1676 μB/atom

a = 9.1676 Å, b = 9.1676 Å, c = 9.1676 Å
α = 18.19°, β = 18.19°, γ = 18.19°
Sites, in units of the cell vectors:
Co  0.7500  0.7500  0.7500
Ta  0.0073  0.0073  0.0073
Au  0.2500  0.2500  0.2500
Ta  0.4927  0.4927  0.4927

Record 5
# Ta2CoAu

A geometry-optimized Ta2CoAu structure (PBE, the Alexandria database).

Results
ΔE to the lowest computed polymorph ... 0.1505 eV per atom
Calculated total energy ... -8.48 eV per atom
Formation energy from the elements ... 0.042 eV per atom
Magnetization ... 0.0858 μB/atom

a = 4.8185 Å, b = 4.8185 Å, c = 4.9406 Å
α = 77.57°, β = 77.57°, γ = 35.55°
Sites, in units of the cell vectors:
Ta  0.7479  0.7479  0.7375
Ta  0.9904  0.9904  0.0347
Au  0.5077  0.5077  0.5048
Co  0.2540  0.2540  0.2229

Record 6
# TaCoAu

A geometry-optimized TaCoAu structure (PBE, the Alexandria database).

Results
ΔE to the lowest computed polymorph ... 0.1981 eV per atom
Calculated total energy ... -7.34 eV per atom
Formation energy from the elements ... 0.069 eV per atom
Magnetization ... 0.0000 μB/atom

a = 4.3451 Å, b = 4.3451 Å, c = 2.8312 Å
α = 90.00°, β = 90.00°, γ = 120.00°
Sites, in units of the cell vectors:
Ta  0.6667  0.3333  0.5640
Au  0.0000  0.0000  0.0140
Co  0.3333  0.6667  0.4220

Record 7
# Ta2CoAu

A geometry-optimized Ta2CoAu structure (PBE, the Alexandria database).

Results
ΔE to the lowest computed polymorph ... 0.0232 eV per atom
Calculated total energy ... -8.61 eV per atom
Formation energy from the elements ... -0.086 eV per atom
Magnetization ... 0.0001 μB/atom

a = 2.8247 Å, b = 2.8247 Å, c = 7.9641 Å
α = 90.00°, β = 90.00°, γ = 90.19°
Sites, in units of the cell vectors:
Ta  0.0000  0.0000  0.9703
Co  0.5000  0.5000  0.7500
Au  0.5000  0.5000  0.2500
Ta  0.0000  0.0000  0.5297

Record 8
# TaCoAu2

A geometry-optimized TaCoAu2 structure (PBE, the Alexandria database).

Results
ΔE to the lowest computed polymorph ... 0.2733 eV per atom
Calculated total energy ... -6.14 eV per atom
Formation energy from the elements ... 0.238 eV per atom
Magnetization ... 0.3627 μB/atom

a = 3.9982 Å, b = 4.0006 Å, c = 4.0511 Å
α = 90.00°, β = 90.00°, γ = 90.00°
Sites, in units of the cell vectors:
Ta  0.0000  0.5000  0.5000
Au  0.5000  0.5000  0.0000
Co  0.5000  0.0000  0.5000
Au  0.0000  0.0000  0.0000